MgTc2Pt | PBE | relaxed

Lattice parameters (Å, degrees): 4.4269 4.4269 4.4269 60.00 60.00 60.00
Last column: magnetic moment on the atom in μB.
Fractional positions:
Mg 0.5000 0.5000 0.5000  0.00
Pt 0.7500 0.7500 0.7500  0.38
Tc 0.0000 0.0000 0.0000  1.35
Tc 0.2500 0.2500 0.2500  -0.07

## Properties
Total DFT energy (no corrections), eV/atom: -7.092
Space-group type: F-43m (216)
Formation energy, meV per atom: 0